! KMnNi3, optimized geometry, DFT PBE-GGA; values from VASP
! Calculated volume (Å³ per atom): 18.60
! Symmetry: Pm-3m
! DFT total energy (eV/cell): -22.9
! Energy of formation from the pure elements (eV/atom): 0.941
! Energy above the most stable polymorph in this dataset (eV/atom): 0.000
! ρ (kg/m3): 4824
&SYSTEM
  ibrav = 0, nat = 5, ntyp = 3
/
ATOMIC_SPECIES
Mn 54.94 Mn.upf
Ni 58.69 Ni.upf
K 39.10 K.upf
CELL_PARAMETERS angstrom
4.530 0.000 0.000
0.000 4.530 0.000
0.000 0.000 4.530
ATOMIC_POSITIONS crystal
Mn 0.000 0.000 0.000
Ni 0.000 0.500 0.000
Ni 0.000 0.000 0.500
Ni 0.500 0.000 0.000
K 0.500 0.500 0.500